Record 1
LiInMoOs (PBE, relaxed); Fermi-level density of states = 0.39 states/eV/f.u.; DFT formation energy = 33 meV per atom
1.0
6.283 0.000 0.000
0.000 6.283 0.000
0.000 0.000 6.283
Li In Mo Os
4 4 4 4
Direct
0.000 0.000 0.000
0.000 0.500 0.500
0.500 0.000 0.500
0.500 0.500 0.000
0.250 0.250 0.250
0.250 0.750 0.750
0.750 0.250 0.750
0.750 0.750 0.250
0.250 0.250 0.750
0.250 0.750 0.250
0.750 0.250 0.250
0.750 0.750 0.750
0.000 0.000 0.500
0.000 0.500 0.000
0.500 0.000 0.000
0.500 0.500 0.500



Record 2
LiIn2MoP (PBE, relaxed); Fermi-level density of states = 1.87 states/eV/f.u.; DFT formation energy = 968 meV per atom
1.0
4.662 0.000 0.000
0.000 4.662 0.000
0.000 0.000 4.546
Li In Mo P
1 2 1 1
Direct
0.000 0.000 0.000
0.000 0.500 0.000
0.500 0.000 0.000
0.000 0.000 0.500
0.500 0.500 0.500



Record 3
LiInMo2Pb (PBE, relaxed); Fermi-level density of states = 3.50 states/eV/f.u.; DFT formation energy = 1752 meV per atom
1.0
5.281 0.000 0.000
0.000 5.281 0.000
0.000 0.000 5.679
Li In Mo Pb
1 1 2 1
Direct
0.000 0.000 0.000
0.500 0.500 0.500
0.000 0.500 0.500
0.500 0.000 0.500
0.500 0.500 0.000



Record 4
LiIn2MoRh (PBE, relaxed); Fermi-level density of states = 5.87 states/eV/f.u.; DFT formation energy = 875 meV per atom
1.0
4.485 0.000 0.000
0.000 4.485 0.000
0.000 0.000 4.378
Li In Mo Rh
1 2 1 1
Direct
0.000 0.000 0.000
0.000 0.500 0.000
0.500 0.000 0.000
0.000 0.000 0.500
0.500 0.500 0.500



Record 5
LiInMoRh (PBE, relaxed); Fermi-level density of states = 2.82 states/eV/f.u.; DFT formation energy = -40 meV per atom
1.0
6.293 0.000 0.000
0.000 6.293 0.000
0.000 0.000 6.293
Li In Mo Rh
4 4 4 4
Direct
0.000 0.000 0.000
0.000 0.500 0.500
0.500 0.000 0.500
0.500 0.500 0.000
0.250 0.250 0.250
0.250 0.750 0.750
0.750 0.250 0.750
0.750 0.750 0.250
0.250 0.250 0.750
0.250 0.750 0.250
0.750 0.250 0.250
0.750 0.750 0.750
0.000 0.000 0.500
0.000 0.500 0.000
0.500 0.000 0.000
0.500 0.500 0.500



Record 6
LiInMo6Se6 (PBE, relaxed); Fermi-level density of states = 2.64 states/eV/f.u.; E_form (uncorrected) = -505 meV/atom
1.0
8.789 0.000 0.000
-4.394 7.611 0.000
0.000 0.000 4.530
Li In Mo Se
1 1 6 6
Direct
0.000 0.000 0.000
0.667 0.333 0.500
0.140 0.517 0.500
0.182 0.709 0.000
0.291 0.474 0.000
0.377 0.860 0.500
0.483 0.623 0.500
0.526 0.818 0.000
0.040 0.757 0.500
0.243 0.283 0.500
0.414 0.045 0.000
0.631 0.586 0.000
0.717 0.960 0.500
0.955 0.369 0.000



Record 7
SrLi2InMo (PBE, relaxed); Fermi-level density of states = 3.33 states/eV/f.u.; DFT formation energy = 1656 meV per atom
1.0
4.410 0.000 0.000
0.000 4.410 0.000
0.000 0.000 5.712
Sr Li In Mo
1 2 1 1
Direct
0.000 0.000 0.000
0.000 0.500 0.000
0.500 0.000 0.000
0.000 0.000 0.500
0.500 0.500 0.500



Record 8
LiIn2TcMo (PBE, relaxed); Fermi-level density of states = 2.95 states/eV/f.u.; DFT formation energy = 1278 meV per atom
1.0
5.091 0.000 0.000
0.000 5.091 0.000
0.000 0.000 4.581
Li In Tc Mo
1 2 1 1
Direct
0.000 0.000 0.000
0.000 0.500 0.500
0.500 0.000 0.500
0.000 0.000 0.500
0.500 0.500 0.000



Record 9
Li2InTcMo (PBE, relaxed); Fermi-level density of states = 8.53 states/eV/f.u.; DFT formation energy = 1578 meV per atom
1.0
4.321 0.000 0.000
0.000 4.321 0.000
0.000 0.000 5.060
Li In Tc Mo
2 1 1 1
Direct
0.000 0.500 0.000
0.500 0.000 0.000
0.000 0.000 0.500
0.000 0.000 0.000
0.500 0.500 0.500



Record 10
LiInTe6Mo6 (PBE, relaxed); Fermi-level density of states = 3.11 states/eV/f.u.; E_form (uncorrected) = -295 meV/atom
1.0
9.366 0.000 0.000
-4.683 8.111 0.000
0.000 0.000 4.624
Li In Te Mo
1 1 6 6
Direct
0.000 0.000 0.000
0.667 0.333 0.500
0.031 0.750 0.500
0.250 0.282 0.500
0.410 0.047 0.000
0.637 0.590 0.000
0.718 0.969 0.500
0.953 0.363 0.000
0.154 0.525 0.500
0.191 0.705 0.000
0.295 0.486 0.000
0.372 0.846 0.500
0.475 0.628 0.500
0.514 0.809 0.000



Record 11
Li2InMoW (PBE, relaxed); Fermi-level density of states = 5.01 states/eV/f.u.; DFT formation energy = 1998 meV per atom
1.0
4.425 0.000 0.000
0.000 4.425 0.000
0.000 0.000 5.117
Li In Mo W
2 1 1 1
Direct
0.000 0.500 0.000
0.500 0.000 0.000
0.000 0.000 0.500
0.000 0.000 0.000
0.500 0.500 0.500



Record 12
LiInN (PBE, relaxed); offset from the most stable computed form = 326.7 meV per atom; Fermi-level density of states = 1.19 states/eV/f.u.; E_form (uncorrected) = 214 meV/atom
1.0
3.666 0.000 0.000
-1.833 3.175 0.000
0.000 0.000 4.194
Li In N
1 1 1
Direct
0.000 0.000 0.000
0.667 0.333 0.500
0.667 0.333 0.000



Total magnetic moment, record by record: 0.0000, 0.4099, 1.3462, 0.1361, 0.2528, 0.0000, 0.0009, 0.8152, 0.0004, 0.0000, 0.6648, 0.0000 μB per atom